No. 1
A relaxed structure of Zr2CoP. Source: Alexandria, functional PBE-GGA.

**Energy above the most stable polymorph in this dataset**: 19 meV/atom
**Formation energy**: -88.2 kJ/mol of atoms
**Calculated density**: 6.769 g/cm³
**VASP energy**: -8.317 eV/atom

Cell: 6.454 6.454 3.722 Å, 54.79 54.79 32.62°
Fractional coordinates of all 4 atoms:
P1 0.303 0.303 0.269
Co1 0.444 0.444 0.487
Zr1 0.022 0.022 0.830
Zr2 0.730 0.730 0.914


No. 2
A relaxed structure of BaTmIr4. Source: Alexandria, functional PBE-GGA.

**Formation energy**: -31.1 kJ/mol of atoms
**Calculated density**: 15.419 g/cm³
**VASP energy**: -7.296 eV/atom

Cell: 5.471 5.471 5.471 Å, 60.00 60.00 60.00°
Fractional coordinates of all 6 atoms:
Ir1 0.625 0.625 0.124
Ir2 0.625 0.124 0.625
Ir3 0.625 0.625 0.625
Ir4 0.124 0.625 0.625
Tm1 0.000 0.000 0.000
Ba1 0.250 0.250 0.250


No. 3
A relaxed structure of CoPIrS2. Source: Alexandria, functional PBE-GGA.

**Energy above the most stable polymorph in this dataset**: 0 meV/atom
**Formation energy without anion corrections**: 0.86 eV per atom
**Calculated density**: 7.312 g/cm³
**VASP energy**: -5.067 eV/atom

Cell: 4.345 4.345 4.164 Å, 90.00 90.00 90.00°
Fractional coordinates of all 5 atoms:
P1 0.000 0.000 0.500
S1 0.000 0.500 0.000
S2 0.500 0.000 0.000
Ir1 0.500 0.500 0.500
Co1 0.000 0.000 0.000